# HgCl6F2

A relaxed structure of HgCl6F2 (PBE, Alexandria).

a = 9.7323 Å, b = 9.7323 Å, c = 3.6356 Å
α = 94.82°, β = 94.82°, γ = 125.60°
Closest atoms and distances in Å follow each position.
Element x y z (fractional)
Hg 0.0000 0.0000 0.0000  4 F 2.25
Cl 0.8175 0.4036 0.9735  1 Cl 2.01
Cl 0.1825 0.5964 0.0265  1 Cl 2.01
Cl 0.3931 0.3931 0.5458  1 Cl 1.99
Cl 0.4036 0.8175 0.9735  1 Cl 2.01
Cl 0.5964 0.1825 0.0265  1 Cl 2.01
Cl 0.6069 0.6069 0.4542  1 Cl 1.99
F 0.9229 0.0771 0.5000  2 Hg 2.25
F 0.0771 0.9229 0.5000  2 Hg 2.25

Properties
Space group = No. 12
VASP energy = -18.5 eV/cell